--- a ---
Ga2Sb | the Alexandria database | PBE | relaxed; crystal system = hexagonal; total magnetization = 0.0 μB/cell; space-group type = P6_3/mmc, No. 194; DOS at the Fermi energy = 4.0 states/eV per cell
1.0
5.0758 0.0000 0.0000
-2.5379 4.3958 0.0000
0.0000 0.0000 6.0765
Ga Sb
4 2
Direct
0.0000 0.0000 0.0000
0.0000 0.0000 0.5000
0.3333 0.6667 0.2500
0.6667 0.3333 0.7500
0.3333 0.6667 0.7500
0.6667 0.3333 0.2500

--- b ---
Ga2Sb | the Alexandria database | PBE | relaxed; crystal system = triclinic; total magnetization = 0.0 μB/cell; space-group type = P-1, No. 2; DOS at the Fermi energy = 1.0 states/eV per cell
1.0
3.1111 0.0000 0.0000
-1.0767 3.8366 0.0000
-0.8716 -1.9954 5.6848
Ga Sb
2 1
Direct
0.1710 0.1865 0.3608
0.8290 0.8135 0.6392
0.0000 0.5000 0.0000

--- c ---
Ga2Sb | the Alexandria database | PBE | relaxed; crystal system = triclinic; total magnetization = 0.0 μB/cell; space-group type = P-1, No. 2; DOS at the Fermi energy = 2.2 states/eV per cell
1.0
4.0364 0.0000 0.0000
1.6862 5.7875 0.0000
1.7175 2.3273 5.7381
Ga Sb
4 2
Direct
0.0497 0.2598 0.3291
0.2764 0.7183 0.0065
0.7236 0.2817 0.9935
0.9503 0.7402 0.6709
0.4028 0.2127 0.6850
0.5972 0.7873 0.3150

Going by the energies, c is most stable and the next is 2.8 kJ/mol of atoms up.